Compound: Mg2CuSnAu4
Source: the Alexandria database
Functional: PBE-GGA
Structure: optimized geometry

```
Mg2CuSnAu4
1.0
4.603 0.000 0.000
2.302 3.986 0.000
2.302 1.329 7.983
Sn Au Cu Mg
1 4 1 2
Cartesian
0.000 0.000 0.000 Sn
4.603 2.658 1.233 Au
6.905 3.986 3.144 Au
4.603 2.658 6.750 Au
2.302 1.329 4.839 Au
4.603 2.658 3.992 Cu
6.905 3.986 5.867 Mg
2.302 1.329 2.116 Mg
```

formation energy from the elements: -32.13 kJ per mole of atoms
crystal system: trigonal
space group: R-3m, No. 166